No. 1
# SrYIn4Ni2, relaxed, DFT PBE
# DFT total energy   -66.46 eV per cell
# Crystal system   orthorhombic
data_SrYIn4Ni2
_cell_length_a 7.641
_cell_length_b 4.361
_cell_length_c 10.595
_cell_angle_alpha 90.00
_cell_angle_beta 90.00
_cell_angle_gamma 90.00
_symmetry_space_group_name_H-M 'A m m 2'
_symmetry_Int_Tables_number 38
_symmetry_space_group_name_Hall 'A 2 -2'
loop_
_atom_site_label
_atom_site_type_symbol
_atom_site_fract_x
_atom_site_fract_y
_atom_site_fract_z
Sr1 Sr 0.000 0.000 0.000
Y1 Y 0.500 0.000 0.125
In1 In 0.203 0.000 0.712
In2 In 0.307 0.000 0.412
Ni1 Ni 0.000 0.000 0.280
Ni2 Ni 0.500 0.000 0.845

***

No. 2
# BaNiSbAu, relaxed, DFT PBE
# DFT total energy   -58.70 eV per cell
# Crystal system   cubic
# Distance to the lowest polymorph of the same formula   0.556 eV/f.u.
data_BaNiSbAu
_cell_length_a 7.408
_cell_length_b 7.408
_cell_length_c 7.408
_cell_angle_alpha 90.00
_cell_angle_beta 90.00
_cell_angle_gamma 90.00
_symmetry_space_group_name_H-M 'F -4 3 m'
_symmetry_Int_Tables_number 216
_symmetry_space_group_name_Hall 'F -4 2 3'
loop_
_atom_site_label
_atom_site_type_symbol
_atom_site_fract_x
_atom_site_fract_y
_atom_site_fract_z
Ba1 Ba 0.000 0.000 0.000
Ni1 Ni 0.000 0.000 0.500
Sb1 Sb 0.250 0.250 0.750
Au1 Au 0.250 0.250 0.250

***

No. 3
# Tb3Hg3Pd2, relaxed, DFT PBE
# DFT total energy   -30.67 eV per cell
# DFT formation energy   -0.6920 eV/atom
# Crystal system   hexagonal
data_Tb3Hg3Pd2
_cell_length_a 7.6291
_cell_length_b 7.6291
_cell_length_c 3.6990
_cell_angle_alpha 90.00
_cell_angle_beta 90.00
_cell_angle_gamma 120.00
_symmetry_space_group_name_H-M 'P -6 2 m'
_symmetry_Int_Tables_number 189
_symmetry_space_group_name_Hall 'P -6 -2'
loop_
_atom_site_label
_atom_site_type_symbol
_atom_site_fract_x
_atom_site_fract_y
_atom_site_fract_z
Tb1 Tb 0.0000 0.4103 0.0000
Hg1 Hg 0.0000 0.7626 0.5000
Pd1 Pd 0.3333 0.6667 0.5000